# PBE ScIr2Rh3, relaxed
# ΔE_f = -135 meV/atom
# E = -187.7 eV for the cell shown
data_ScIr2Rh3
_chemical_formula_sum 'Sc4 Ir8 Rh12'
_cell_length_a 5.547
_cell_length_b 13.478
_cell_length_c 5.046
_cell_angle_alpha 90.00
_cell_angle_beta 90.00
_cell_angle_gamma 90.00
_space_group_name_H-M_alt 'C m c m'
_space_group_IT_number 63
_space_group_name_Hall '-C 2c 2'
loop_
_atom_site_label
_atom_site_type_symbol
_atom_site_fract_x
_atom_site_fract_y
_atom_site_fract_z
_atom_site_occupancy
Sc1 Sc 0.000 0.160 0.250 1
Ir1 Ir 0.238 0.500 0.000 1
Rh1 Rh 0.000 0.347 0.750 1
Rh2 Rh 0.248 0.173 0.750 1

# PBE ScIr2RhSe, relaxed
# Raw formation energy = 365.8 meV per atom
# E = -33.1 eV for the cell shown
data_ScIr2RhSe
_chemical_formula_sum 'Sc1 Ir2 Rh1 Se1'
_cell_length_a 4.611
_cell_length_b 4.611
_cell_length_c 4.535
_cell_angle_alpha 90.00
_cell_angle_beta 90.00
_cell_angle_gamma 90.00
_space_group_name_H-M_alt 'P 4/m m m'
_space_group_IT_number 123
_space_group_name_Hall '-P 4 2'
loop_
_atom_site_label
_atom_site_type_symbol
_atom_site_fract_x
_atom_site_fract_y
_atom_site_fract_z
_atom_site_occupancy
Sc1 Sc 0.000 0.000 0.000 1
Ir1 Ir 0.000 0.500 0.500 1
Rh1 Rh 0.500 0.500 0.000 1
Se1 Se 0.500 0.500 0.500 1

# PBE Sc2Si4Ir3Rh, relaxed
# Raw formation energy = -967.6 meV per atom
# E = -78.0 eV for the cell shown
data_Sc2Si4Ir3Rh
_chemical_formula_sum 'Sc2 Si4 Ir3 Rh1'
_cell_length_a 4.048
_cell_length_b 4.048
_cell_length_c 9.802
_cell_angle_alpha 90.00
_cell_angle_beta 90.00
_cell_angle_gamma 90.00
_space_group_name_H-M_alt 'P -4 m 2'
_space_group_IT_number 115
_space_group_name_Hall 'P -4 -2'
loop_
_atom_site_label
_atom_site_type_symbol
_atom_site_fract_x
_atom_site_fract_y
_atom_site_fract_z
_atom_site_occupancy
Sc1 Sc 0.000 0.500 0.246 1
Si1 Si 0.000 0.000 0.000 1
Si2 Si 0.000 0.500 0.631 1
Si3 Si 0.500 0.500 0.000 1
Ir1 Ir 0.000 0.500 0.868 1
Ir2 Ir 0.500 0.500 0.500 1
Rh1 Rh 0.000 0.000 0.500 1

# PBE Sc5Sn2Ir2Rh, relaxed
# ΔE_f = -724 meV/atom
# E = -144.0 eV for the cell shown
data_Sc5Sn2Ir2Rh
_chemical_formula_sum 'Sc10 Sn4 Ir4 Rh2'
_cell_length_a 11.050
_cell_length_b 11.050
_cell_length_c 3.344
_cell_angle_alpha 90.00
_cell_angle_beta 90.00
_cell_angle_gamma 90.00
_space_group_name_H-M_alt 'P 4/m b m'
_space_group_IT_number 127
_space_group_name_Hall '-P 4 2ab'
loop_
_atom_site_label
_atom_site_type_symbol
_atom_site_fract_x
_atom_site_fract_y
_atom_site_fract_z
_atom_site_occupancy
Sc1 Sc 0.000 0.500 0.000 1
Sc2 Sc 0.069 0.193 0.000 1
Sn1 Sn 0.172 0.672 0.500 1
Ir1 Ir 0.136 0.364 0.500 1
Rh1 Rh 0.000 0.000 0.500 1

# PBE ScTaIrRh2, relaxed
# ΔE_f = 1172 meV/atom
# E = -35.9 eV for the cell shown
data_ScTaIrRh2
_chemical_formula_sum 'Sc1 Ta1 Ir1 Rh2'
_cell_length_a 4.591
_cell_length_b 4.591
_cell_length_c 5.010
_cell_angle_alpha 90.00
_cell_angle_beta 90.00
_cell_angle_gamma 90.00
_space_group_name_H-M_alt 'P 4/m m m'
_space_group_IT_number 123
_space_group_name_Hall '-P 4 2'
loop_
_atom_site_label
_atom_site_type_symbol
_atom_site_fract_x
_atom_site_fract_y
_atom_site_fract_z
_atom_site_occupancy
Sc1 Sc 0.000 0.000 0.000 1
Ta1 Ta 0.000 0.000 0.500 1
Ir1 Ir 0.500 0.500 0.000 1
Rh1 Rh 0.000 0.500 0.500 1

# PBE TbScIrRh, relaxed
# ΔE_f = -892 meV/atom
# E = -123.0 eV for the cell shown
data_TbScIrRh
_chemical_formula_sum 'Tb4 Sc4 Ir4 Rh4'
_cell_length_a 6.682
_cell_length_b 6.682
_cell_length_c 6.682
_cell_angle_alpha 90.00
_cell_angle_beta 90.00
_cell_angle_gamma 90.00
_space_group_name_H-M_alt 'F -4 3 m'
_space_group_IT_number 216
_space_group_name_Hall 'F -4 2 3'
loop_
_atom_site_label
_atom_site_type_symbol
_atom_site_fract_x
_atom_site_fract_y
_atom_site_fract_z
_atom_site_occupancy
Tb1 Tb 0.000 0.000 0.000 1
Sc1 Sc 0.000 0.000 0.500 1
Ir1 Ir 0.250 0.250 0.250 1
Rh1 Rh 0.250 0.250 0.750 1

# PBE ThScIrRh, relaxed
# ΔE_f = -825 meV/atom
# E = -133.0 eV for the cell shown
data_ThScIrRh
_chemical_formula_sum 'Th4 Sc4 Ir4 Rh4'
_cell_length_a 6.862
_cell_length_b 6.862
_cell_length_c 6.862
_cell_angle_alpha 90.00
_cell_angle_beta 90.00
_cell_angle_gamma 90.00
_space_group_name_H-M_alt 'F -4 3 m'
_space_group_IT_number 216
_space_group_name_Hall 'F -4 2 3'
loop_
_atom_site_label
_atom_site_type_symbol
_atom_site_fract_x
_atom_site_fract_y
_atom_site_fract_z
_atom_site_occupancy
Th1 Th 0.000 0.000 0.000 1
Sc1 Sc 0.000 0.000 0.500 1
Ir1 Ir 0.250 0.250 0.750 1
Rh1 Rh 0.250 0.250 0.250 1

# PBE ScTlIrRh, relaxed
# ΔE_f = -448 meV/atom
# E = -106.8 eV for the cell shown
data_ScTlIrRh
_chemical_formula_sum 'Sc4 Tl4 Ir4 Rh4'
_cell_length_a 6.519
_cell_length_b 6.519
_cell_length_c 6.519
_cell_angle_alpha 90.00
_cell_angle_beta 90.00
_cell_angle_gamma 90.00
_space_group_name_H-M_alt 'F -4 3 m'
_space_group_IT_number 216
_space_group_name_Hall 'F -4 2 3'
loop_
_atom_site_label
_atom_site_type_symbol
_atom_site_fract_x
_atom_site_fract_y
_atom_site_fract_z
_atom_site_occupancy
Sc1 Sc 0.000 0.000 0.000 1
Tl1 Tl 0.000 0.000 0.500 1
Ir1 Ir 0.250 0.250 0.750 1
Rh1 Rh 0.250 0.250 0.250 1

Respective ρ values: 12.995 10.527 9.116 7.724 9.811 11.112 11.760 13.054 g cm⁻³.